No. 1
Computed, not measured: an optimized crystal structure of ThPa2FeN5 at the PBE level of DFT.

Summary:
Fermi-level density of states in states/eV per atom: 0.38
Formation energy from raw total energies in eV per formula unit: -11.6
VASP energy in Ry per atom: -0.720

a b c (Å): 6.5395 6.5395 7.2137
angles (deg): 116.95 116.95 90.00
Closest atoms and distances in Å follow each position.
Sites, in units of the cell vectors:
Th 0.2500 0.2500 0.5000  10 N 2.76-2.77
Th 0.7500 0.7500 0.5000  10 N 2.76-2.77
N 0.7047 0.2047 0.7260  1 Fe 1.93
N 0.0213 0.5213 0.7260  1 Fe 1.93
N 0.0000 0.0000 0.0000  4 Pa 2.43
N 0.5000 0.5000 0.0000  4 Pa 2.43
N 0.9787 0.4787 0.2740  1 Fe 1.93
N 0.2047 0.0213 0.7260  1 Fe 1.93
N 0.7953 0.9787 0.2740  1 Fe 1.93
N 0.5213 0.7047 0.7260  1 Fe 1.93
N 0.2953 0.7953 0.2740  1 Fe 1.93
N 0.4787 0.2953 0.2740  1 Fe 1.93
Pa 0.8320 0.6680 0.0000  4 N 2.21-2.43
Pa 0.1680 0.3320 0.0000  4 N 2.21-2.43
Pa 0.6680 0.1680 0.0000  4 N 2.21-2.43
Pa 0.3320 0.8320 0.0000  4 N 2.21-2.43
Fe 0.2500 0.7500 0.5000  4 N 1.93
Fe 0.7500 0.2500 0.5000  4 N 1.93

***

No. 2
Computed, not measured: an optimized crystal structure of K2LaCu at the PBE level of DFT.

Summary:
Formation enthalpy at 0 K in kJ/mol of atoms: 51
Fermi-level density of states in states/eV per atom: 1.10
VASP energy in Ry per atom: -0.167

a b c (Å): 6.7749 3.9897 5.4599
angles (deg): 85.42 90.00 90.00
Closest atoms and distances in Å follow each position.
Sites, in units of the cell vectors:
Cu 0.5000 0.7500 0.7500  4 La 3.25-3.51
K 0.0000 0.9641 0.9777  3 K 3.13-3.31
K 0.0000 0.5359 0.5223  3 K 3.13-3.31
La 0.5000 0.2500 0.2500  4 Cu 3.25-3.51

***

No. 3
Computed, not measured: an optimized crystal structure of PaInPd14 at the PBE level of DFT.

Summary:
Formation enthalpy at 0 K in kJ/mol of atoms: -35
Fermi-level density of states in states/eV per atom: 1.12
VASP energy in Ry per atom: -0.417

a b c (Å): 5.7846 5.7846 7.7809
angles (deg): 90.00 90.00 90.00
Closest atoms and distances in Å follow each position.
Sites, in units of the cell vectors:
Pd 0.8750 0.3750 0.5000  8 Pd 2.83, 2 Pa 2.89, 2 In 2.89
Pd 0.1236 0.1236 0.2483  10 Pd 2.81-2.91, 1 Pa 2.82, 1 In 2.84
Pd 0.1236 0.1236 0.7517  10 Pd 2.81-2.91, 1 Pa 2.82, 1 In 2.84
Pd 0.1236 0.6264 0.7517  10 Pd 2.81-2.91, 1 Pa 2.82, 1 In 2.84
Pd 0.3750 0.8750 0.5000  8 Pd 2.83, 2 Pa 2.89, 2 In 2.89
Pd 0.8750 0.3750 0.0000  12 Pd 2.81-2.89
Pd 0.8750 0.8750 0.0000  12 Pd 2.81-2.89
Pd 0.1236 0.6264 0.2483  10 Pd 2.81-2.91, 1 Pa 2.82, 1 In 2.84
Pd 0.3750 0.8750 0.0000  12 Pd 2.81-2.89
Pd 0.6264 0.6264 0.7517  10 Pd 2.81-2.91, 1 Pa 2.82, 1 In 2.84
Pd 0.3750 0.3750 0.0000  12 Pd 2.82-2.89
Pd 0.6264 0.1236 0.7517  10 Pd 2.81-2.91, 1 Pa 2.82, 1 In 2.84
Pd 0.6264 0.1236 0.2483  10 Pd 2.81-2.91, 1 Pa 2.82, 1 In 2.84
Pd 0.6264 0.6264 0.2483  10 Pd 2.81-2.91, 1 Pa 2.82, 1 In 2.84
In 0.3750 0.3750 0.5000  12 Pd 2.84-2.89
Pa 0.8750 0.8750 0.5000  12 Pd 2.82-2.89

***

No. 4
Computed, not measured: an optimized crystal structure of MoSe at the PBE level of DFT.

Summary:
Fermi-level density of states in states/eV per atom: 0.50
Formation energy from raw total energies in eV per formula unit: -0.1
VASP energy in Ry per atom: -0.530

a b c (Å): 11.3163 11.3163 3.4573
angles (deg): 90.00 90.00 90.00
Closest atoms and distances in Å follow each position.
Sites, in units of the cell vectors:
Mo 0.5782 0.7681 0.5000  4 Se 2.56-2.57, 2 Mo 2.61
Mo 0.4218 0.2319 0.5000  4 Se 2.56-2.57, 2 Mo 2.61
Mo 0.5434 0.1090 0.0000  4 Se 2.48-2.76, 3 Mo 2.61-2.65
Mo 0.8910 0.5434 0.0000  4 Se 2.48-2.76, 3 Mo 2.61-2.65
Mo 0.4566 0.8910 0.0000  4 Se 2.48-2.76, 3 Mo 2.61-2.65
Mo 0.2319 0.5782 0.5000  4 Se 2.56-2.57, 2 Mo 2.61
Mo 0.1090 0.4566 0.0000  4 Se 2.48-2.76, 3 Mo 2.61-2.65
Mo 0.7681 0.4218 0.5000  4 Se 2.56-2.57, 2 Mo 2.61
Se 0.6756 0.9038 0.0000  4 Mo 2.48-2.76
Se 0.3244 0.0962 0.0000  4 Mo 2.48-2.76
Se 0.2283 0.3513 0.5000  4 Mo 2.50-2.57
Se 0.9038 0.3244 0.0000  4 Mo 2.48-2.76
Se 0.6487 0.2283 0.5000  4 Mo 2.50-2.57
Se 0.7717 0.6487 0.5000  4 Mo 2.50-2.57
Se 0.3513 0.7717 0.5000  4 Mo 2.50-2.57
Se 0.0962 0.6756 0.0000  4 Mo 2.48-2.76

***

No. 5
Computed, not measured: an optimized crystal structure of BaTe2Os at the PBE level of DFT.

Summary:
Fermi-level density of states in states/eV per atom: 0.66
Formation energy from raw total energies in eV per formula unit: 0.2
VASP energy in Ry per atom: -0.353

a b c (Å): 3.4666 3.4666 9.8507
angles (deg): 90.00 90.00 90.00
Closest atoms and distances in Å follow each position.
Sites, in units of the cell vectors:
Te 0.5000 0.5000 0.2727  4 Te 3.47, 4 Ba 3.55
Te 0.0000 0.0000 0.9065  4 Os 2.72
Os 0.5000 0.5000 0.7876  4 Te 2.72
Ba 0.0000 0.0000 0.5332  4 Ba 3.47, 4 Os 3.51, 5 Te 3.55-3.68

***

No. 6
Computed, not measured: an optimized crystal structure of YHo8Sc4 at the PBE level of DFT.

Summary:
Formation enthalpy at 0 K in kJ/mol of atoms: 26
Fermi-level density of states in states/eV per atom: 1.31
VASP energy in Ry per atom: -0.367

a b c (Å): 7.0281 7.0281 9.8257
angles (deg): 90.00 110.96 120.00
Closest atoms and distances in Å follow each position.
Sites, in units of the cell vectors:
Ho 0.9596 0.7529 0.7125  1 Y 2.92, 1 Sc 3.16, 2 Ho 3.19
Ho 0.4311 0.2156 0.6467  9 Ho 3.57-3.70, 3 Sc 3.76
Ho 0.9596 0.2068 0.7125  1 Y 2.92, 1 Sc 3.16, 2 Ho 3.19
Ho 0.0404 0.7932 0.2875  1 Y 2.92, 1 Sc 3.16, 2 Ho 3.19
Ho 0.5058 0.7529 0.7125  1 Y 2.92, 1 Sc 3.16, 2 Ho 3.19
Ho 0.4942 0.2471 0.2875  1 Y 2.92, 1 Sc 3.16, 2 Ho 3.19
Ho 0.5689 0.7844 0.3533  9 Ho 3.57-3.70, 3 Sc 3.76
Ho 0.0404 0.2471 0.2875  1 Y 2.92, 1 Sc 3.16, 2 Ho 3.19
Sc 0.5000 0.5000 0.0000  4 Ho 3.34, 6 Sc 3.51
Sc 0.5000 0.0000 0.0000  4 Ho 3.34, 6 Sc 3.51
Sc 0.0000 0.0000 0.0000  6 Ho 3.16, 6 Sc 3.51
Sc 0.0000 0.5000 0.0000  4 Ho 3.34, 6 Sc 3.51
Y 0.0000 0.5000 0.5000  6 Ho 2.92

***

No. 7
Computed, not measured: an optimized crystal structure of Nd2ZnI at the PBE level of DFT.

Summary:
Fermi-level density of states in states/eV per atom: 1.17
Formation energy from raw total energies in eV per formula unit: -2.3
VASP energy in Ry per atom: -0.269

a b c (Å): 4.0570 4.0570 8.8449
angles (deg): 76.74 76.74 60.00
Closest atoms and distances in Å follow each position.
Sites, in units of the cell vectors:
Nd 0.0745 0.0745 0.7765  3 Zn 3.01, 3 I 3.31
Nd 0.2590 0.2590 0.2230  3 Zn 3.03, 3 I 3.34
Zn 0.6672 0.6672 0.9984  6 Nd 3.01-3.03
I 0.4993 0.4993 0.5020  6 Nd 3.31-3.34

***

No. 8
Computed, not measured: an optimized crystal structure of Sr3PtBr at the PBE level of DFT.

Summary:
Fermi-level density of states in states/eV per atom: 0.41
Formation energy from raw total energies in eV per formula unit: -3.9
VASP energy in Ry per atom: -0.245

a b c (Å): 5.9394 5.9394 5.9394
angles (deg): 90.00 90.00 90.00
Closest atoms and distances in Å follow each position.
Sites, in units of the cell vectors:
Pt 0.0000 0.0000 0.0000  6 Sr 2.97
Sr 0.0000 0.0000 0.5000  2 Pt 2.97
Sr 0.0000 0.5000 0.0000  2 Pt 2.97
Sr 0.5000 0.0000 0.0000  2 Pt 2.97
Br 0.5000 0.5000 0.5000  12 Sr 4.20

***

No. 9
Computed, not measured: an optimized crystal structure of TbEr2Rh at the PBE level of DFT.

Summary:
Formation enthalpy at 0 K in kJ/mol of atoms: -16
Fermi-level density of states in states/eV per atom: 1.40
VASP energy in Ry per atom: -0.400

a b c (Å): 3.5957 3.5957 10.6828
angles (deg): 80.31 80.31 60.00
Closest atoms and distances in Å follow each position.
Sites, in units of the cell vectors:
Rh 0.5000 0.5000 0.5000  6 Er 2.72
Er 0.8894 0.8894 0.3318  3 Rh 2.72
Er 0.1106 0.1106 0.6682  3 Rh 2.72
Tb 0.0000 0.0000 0.0000  2 Er 3.48, 6 Tb 3.60

***

No. 10
Computed, not measured: an optimized crystal structure of CaGa2Pd2 at the PBE level of DFT.

Summary:
Formation enthalpy at 0 K in kJ/mol of atoms: -65
Fermi-level density of states in states/eV per atom: 0.37
VASP energy in Ry per atom: -0.320

a b c (Å): 4.1767 4.1767 6.3527
angles (deg): 70.81 70.81 90.00
Closest atoms and distances in Å follow each position.
Sites, in units of the cell vectors:
Pd 0.6203 0.6203 0.7594  4 Ga 2.55, 1 Pd 2.71
Pd 0.3797 0.3797 0.2406  4 Ga 2.55, 1 Pd 2.71
Ga 0.2500 0.7500 0.5000  4 Pd 2.55
Ga 0.7500 0.2500 0.5000  4 Pd 2.55
Ca 0.0000 0.0000 0.0000  8 Pd 3.25, 8 Ga 3.50